Record 1
A relaxed AcMnGe2 crystal. Source: the Alexandria database, functional PBE.

Cell: 4.279 4.279 6.195 Å, 69.80 69.80 60.00°
Last column: magnetic moment on the atom in μB.
Atoms (fractional coordinates):
Ge 0.786 0.786 0.643  -0.07
Ge 0.214 0.214 0.357  -0.07
Ac 0.000 0.000 0.000  -0.06
Mn 0.500 0.500 0.500  3.04

Computed properties:
symmetry	R-3m, No. 166
ρ	7.88	g cm⁻³
E_tot	-24.19	eV/cell


Record 2
A relaxed Ac2MnGe6 crystal. Source: the Alexandria database, functional PBE.

Cell: 6.580 6.580 10.502 Å, 90.00 90.00 120.00°
Last column: magnetic moment on the atom in μB.
Atoms (fractional coordinates):
Ac 0.000 0.000 0.137  -0.03
Ac 0.333 0.667 0.876  -0.02
Ac 0.667 0.333 0.376  -0.02
Ac 0.000 0.000 0.637  -0.03
Mn 0.667 0.333 0.724  2.17
Mn 0.333 0.667 0.224  2.17
Ge 0.363 0.181 0.898  -0.02
Ge 0.478 0.522 0.606  -0.04
Ge 0.819 0.181 0.898  -0.02
Ge 0.955 0.478 0.106  -0.04
Ge 0.637 0.819 0.398  -0.02
Ge 0.819 0.637 0.898  -0.02
Ge 0.045 0.522 0.606  -0.04
Ge 0.181 0.819 0.398  -0.02
Ge 0.522 0.478 0.106  -0.04
Ge 0.478 0.955 0.606  -0.04
Ge 0.181 0.363 0.398  -0.02
Ge 0.522 0.045 0.106  -0.04

Computed properties:
symmetry	P6_3mc, No. 186
ρ	7.97	g cm⁻³
E_tot	-97.32	eV/cell


Record 3
A relaxed Ac2MnGe4 crystal. Source: the Alexandria database, functional PBE.

Cell: 4.912 6.109 6.109 Å, 90.00 90.00 90.00°
Last column: magnetic moment on the atom in μB.
Atoms (fractional coordinates):
Ac 0.500 0.000 0.500  -0.02
Ac 0.500 0.500 0.000  -0.02
Ge 0.000 0.287 0.713  -0.06
Ge 0.000 0.287 0.287  -0.06
Ge 0.000 0.713 0.713  -0.06
Ge 0.000 0.713 0.287  -0.06
Mn 0.000 0.000 0.000  3.22

Computed properties:
symmetry	P4/mmm, No. 123
ρ	7.24	g cm⁻³
E_tot	-38.62	eV/cell


Record 4
A relaxed AcMn4Ge4 crystal. Source: the Alexandria database, functional PBE.

Cell: 4.614 8.250 8.250 Å, 90.00 90.00 90.00°
Last column: magnetic moment on the atom in μB.
Atoms (fractional coordinates):
Ge 0.000 0.653 0.218  -0.12
Ge 0.500 0.718 0.847  -0.12
Ge 0.500 0.847 0.282  -0.12
Ge 0.500 0.282 0.153  -0.12
Ge 0.500 0.153 0.718  -0.12
Ge 0.000 0.782 0.653  -0.12
Ge 0.000 0.218 0.347  -0.12
Ge 0.000 0.347 0.782  -0.12
Mn 0.500 0.600 0.111  2.33
Mn 0.500 0.400 0.889  2.33
Mn 0.000 0.611 0.900  2.33
Mn 0.500 0.111 0.400  2.33
Mn 0.000 0.900 0.389  2.33
Mn 0.000 0.100 0.611  2.33
Mn 0.500 0.889 0.600  2.33
Mn 0.000 0.389 0.100  2.33
Ac 0.000 0.000 0.000  -0.05
Ac 0.500 0.500 0.500  -0.05

Computed properties:
symmetry	I4/m, No. 87
ρ	7.80	g cm⁻³
E_tot	-122.15	eV/cell


Record 5
A relaxed AcMnGe4 crystal. Source: the Alexandria database, functional PBE.

Cell: 4.095 7.794 7.767 Å, 90.00 90.00 90.00°
Last column: magnetic moment on the atom in μB.
Atoms (fractional coordinates):
Ge 0.500 0.013 0.250  -0.04
Ge 0.500 0.337 0.585  -0.05
Ge 0.500 0.987 0.750  -0.04
Ge 0.500 0.663 0.415  -0.05
Ge 0.500 0.337 0.915  -0.05
Ge 0.000 0.000 0.000  -0.06
Ge 0.000 0.000 0.500  -0.06
Ge 0.500 0.663 0.085  -0.05
Ac 0.000 0.339 0.250  -0.03
Ac 0.000 0.661 0.750  -0.03
Mn 0.000 0.799 0.250  2.54
Mn 0.000 0.201 0.750  2.54

Computed properties:
symmetry	Pmma, No. 51
ρ	7.67	g cm⁻³
E_tot	-66.78	eV/cell


Record 6
A relaxed AcMn2GeN2 crystal. Source: the Alexandria database, functional PBE.

Cell: 4.901 6.237 7.129 Å, 111.41 90.00 90.00°
Last column: magnetic moment on the atom in μB.
Atoms (fractional coordinates):
Ac 0.250 0.687 0.348  -0.01
Ac 0.750 0.313 0.652  -0.01
Mn 0.500 0.131 0.187  1.00
Mn 0.000 0.869 0.813  1.00
Mn 0.500 0.869 0.813  1.00
Mn 0.000 0.131 0.187  1.00
N 0.250 0.651 0.702  -0.07
N 0.750 0.895 0.639  -0.06
N 0.750 0.349 0.298  -0.07
N 0.250 0.105 0.361  -0.06
Ge 0.750 0.769 0.067  -0.07
Ge 0.250 0.231 0.933  -0.07

Computed properties:
symmetry	P2_1/m, No. 11
ρ	7.16	g cm⁻³
E_tot	-93.76	eV/cell
formation energy from raw total energies	-0.527	eV per atom


Record 7
A relaxed Ac2MnGe2N6 crystal. Source: the Alexandria database, functional PBE.

Cell: 5.781 5.781 6.399 Å, 63.14 63.14 60.00°
Last column: magnetic moment on the atom in μB.
Atoms (fractional coordinates):
Ac 0.788 0.788 0.636  0.03
Ac 0.212 0.212 0.364  0.03
N 0.228 0.764 0.245  -0.01
N 0.236 0.772 0.755  -0.01
N 0.236 0.236 0.755  -0.01
N 0.764 0.764 0.245  -0.01
N 0.764 0.228 0.245  -0.01
N 0.772 0.236 0.755  -0.01
Mn 0.000 0.000 0.000  2.87
Ge 0.591 0.591 0.226  0.02
Ge 0.409 0.409 0.774  0.02

Computed properties:
symmetry	R-3m, No. 166
ρ	7.76	g cm⁻³
E_tot	-79.72	eV/cell
formation energy from raw total energies	-0.286	eV per atom


Record 8
A relaxed AcMn2GeN crystal. Source: the Alexandria database, functional PBE.

Cell: 3.980 6.006 7.298 Å, 90.00 90.00 109.35°
Last column: magnetic moment on the atom in μB.
Atoms (fractional coordinates):
Ge 0.732 0.465 0.750  -0.14
Ge 0.268 0.535 0.250  -0.14
Mn 0.837 0.673 0.061  2.26
Mn 0.837 0.673 0.439  2.26
Mn 0.163 0.327 0.561  2.26
Mn 0.163 0.327 0.939  2.26
Ac 0.456 0.912 0.750  -0.03
Ac 0.544 0.088 0.250  -0.03
N 0.000 0.000 0.000  -0.07
N 0.000 0.000 0.500  -0.07

Computed properties:
symmetry	Cmcm, No. 63
ρ	8.55	g cm⁻³
E_tot	-75.90	eV/cell
formation energy from raw total energies	-0.512	eV per atom


Record 9
A relaxed AcMnNbGe2 crystal. Source: the Alexandria database, functional PBE.

Cell: 4.197 4.197 6.759 Å, 108.09 108.09 90.00°
Last column: magnetic moment on the atom in μB.
Atoms (fractional coordinates):
Mn 0.250 0.750 0.500  3.12
Ge 0.620 0.620 0.241  -0.03
Ge 0.380 0.380 0.759  -0.03
Ac 0.000 0.000 0.000  -0.07
Nb 0.750 0.250 0.500  -0.38

Computed properties:
symmetry	I-4m2, No. 119
ρ	8.07	g cm⁻³
E_tot	-34.70	eV/cell


Record 10
A relaxed AcMnNiGe2 crystal. Source: the Alexandria database, functional PBE.

Cell: 4.316 4.316 6.050 Å, 110.89 110.89 90.00°
Last column: magnetic moment on the atom in μB.
Atoms (fractional coordinates):
Mn 0.750 0.250 0.500  3.25
Ge 0.367 0.367 0.734  -0.05
Ge 0.633 0.633 0.266  -0.05
Ni 0.250 0.750 0.500  0.17
Ac 0.000 0.000 0.000  0.04

Computed properties:
symmetry	I-4m2, No. 119
ρ	8.29	g cm⁻³
E_tot	-30.86	eV/cell


Record 11
A relaxed Ac2MnNi3Ge4 crystal. Source: the Alexandria database, functional PBE.

Cell: 4.286 4.286 10.235 Å, 90.00 90.00 90.00°
Last column: magnetic moment on the atom in μB.
Atoms (fractional coordinates):
Ac 0.500 0.000 0.246  0.00
Ac 0.000 0.500 0.754  0.00
Mn 0.500 0.500 0.500  3.21
Ni 0.000 0.500 0.120  -0.06
Ni 0.000 0.000 0.500  -0.02
Ni 0.500 0.000 0.880  -0.06
Ge 0.000 0.000 0.000  0.00
Ge 0.500 0.000 0.629  -0.09
Ge 0.500 0.500 0.000  0.00
Ge 0.000 0.500 0.371  -0.09

Computed properties:
symmetry	P-4m2, No. 115
ρ	8.62	g cm⁻³
E_tot	-58.82	eV/cell